Crystalline TaP2Au at its relaxed geometry, computed with PBE.

Computed properties:
**Energy relative to the elements**: 200 meV/atom
**Space group**: C2/m
**V**: 66 Å³ per cell
**Magnetization**: 0.000 μB per formula unit
**Total DFT energy (no corrections)**: -25.2 eV per cell

The structure in extended XYZ format:
```
4
Lattice="-2.7495 0.8222 4.1867 0.0629 -4.7645 -2.2617 1.5862 -1.2324 2.3306" Properties=species:S:1:pos:R:3 pbc="T T T"
Ta -1.3433 -1.9711 0.9625
Au -0.5816 -0.2051 3.2587
P 0.0000 0.0000 0.0000
P 0.8246 -2.9984 0.0344
```